9
Lattice="5.015 -0.080 -0.028 2.438 4.382 0.029 -0.037 0.064 6.184" Properties=species:S:1:pos:R:3 comment="BeTlVF6 (PBE with a Hubbard U, relaxed)" mass_density_g_cm3=4.58 total_magnetization_mub_per_cell=2.00 energy_ha_per_atom=-0.200 spacegroup="No. 5" pbc="T T T"
Be 2.445 1.455 3.093
Tl 0.062 0.036 0.000
V 4.982 2.918 3.092
F 1.015 1.614 2.112
F 1.869 0.136 4.072
F 3.894 1.606 4.115
F 1.568 2.689 4.186
F 3.301 2.632 2.070
F 3.076 0.077 1.998